BaTa2Os: relaxed, PBE-GGA.

Cell lengths 4.8824, 4.8824, 4.8824 Å; angles 60.00, 60.00, 60.00 degrees
Element x y z (fractional)
Ba  0.0000  0.0000  0.0000
Ta  0.5000  0.5000  0.5000
Ta  0.7500  0.7500  0.7500
Os  0.2500  0.2500  0.2500

Values from the calculation:
Energy of formation from the pure elements: 1135 meV per atom
Energy above the lowest structure with this stoichiometry: 629 meV/atom
Density of states at the Fermi level: 5.3 states/eV per cell
DFT total energy: -32.32 eV per formula unit